P.
Fe2Pt3: optimized geometry, PBE.

Calculated values
- Calculated density: 15.77 g cm⁻³
- Volume: 587.2 Å³/cell
- Size of the total moment: 1.473 μB/atom
- DOS at the Fermi energy: 32.40 states/eV per cell

```
data_Fe2Pt3
_chemical_formula_sum 'Fe16 Pt24'
_space_group_name_H-M_alt 'F d d 2'
_space_group_IT_number 43
_space_group_name_Hall 'F 2 -2d'
_cell_length_a 9.3782
_cell_length_b 13.1215
_cell_length_c 4.7721
_cell_angle_alpha 90.00
_cell_angle_beta 90.00
_cell_angle_gamma 90.00
loop_
_atom_site_label
_atom_site_type_symbol
_atom_site_fract_x
_atom_site_fract_y
_atom_site_fract_z
Fe1 Fe 0.0274 0.2986 0.0000
Pt1 Pt 0.0000 0.0000 0.4654
Pt2 Pt 0.0433 0.3955 0.4749
```



Q.
Fe2Pt3: optimized geometry, PBE.

Calculated values
- Calculated density: 15.83 g cm⁻³
- Volume: 219.4 Å³/cell
- Size of the total moment: 1.494 μB/atom
- DOS at the Fermi energy: 11.67 states/eV per cell

```
data_Fe2Pt3
_chemical_formula_sum 'Fe6 Pt9'
_space_group_name_H-M_alt 'R -3 m'
_space_group_IT_number 166
_space_group_name_Hall '-R 3 2"'
_cell_length_a 4.3437
_cell_length_b 4.3437
_cell_length_c 13.4265
_cell_angle_alpha 90.00
_cell_angle_beta 90.00
_cell_angle_gamma 120.00
loop_
_atom_site_label
_atom_site_type_symbol
_atom_site_fract_x
_atom_site_fract_y
_atom_site_fract_z
Fe1 Fe 0.0000 0.0000 0.0915
Pt1 Pt 0.0000 0.0000 0.2847
Pt2 Pt 0.0000 0.0000 0.5000
```



Stability order, top to bottom: P, Q